Here is crystalline Pm4Pr7Th at its relaxed geometry from Alexandria via LeMat-Bulk. Energies are from GGA-PBE.

Properties
The calculation puts the energy of formation from the pure elements at 0.024 eV/atom. Its calculated density is 7.02 Mg/m³. The space-group type is P-1, No. 2.

Cell lengths 6.4245, 7.4278, 9.1696 Å; angles 89.91, 76.35, 89.99 degrees
Sites, in units of the cell vectors:
Pm  0.2219  0.0000  0.3354
Pm  0.2740  0.7479  0.6722
Pm  0.7260  0.2521  0.3278
Pm  0.7781  0.0000  0.6646
Pr  0.0000  0.0000  0.0000
Pr  0.2188  0.4998  0.3271
Pr  0.2754  0.2527  0.6712
Pr  0.4999  0.2545  0.0008
Pr  0.5001  0.7455  0.9992
Pr  0.7246  0.7473  0.3288
Pr  0.7812  0.5002  0.6729
Th  0.0000  0.5000  0.0000